BaH2F4: relaxed, PBE-GGA.

The space group is Fdd2 (No. 43) and the conventional cell measures 12.9093, 12.9334 and 5.0079 Å, with angles of 90.00, 90.00 and 90.00 degrees. The asymmetric unit holds Ba at (0.0000, 0.0000, 0.0000), H at (0.1198, 0.3698, 0.8749), F at (0.1052, 0.3849, 0.0979) and F at (0.1152, 0.1050, 0.4020).

The total moment is 0.051 μB/f.u. For the density of states at the Fermi level, the calculation gives 0.000 states/eV/cell. Its total energy is -274.08 eV per cell. The volume comes out at 14.93 Å³/atom. The energy above the most stable polymorph in this dataset is 0.000 eV/atom.

MgTc2Mo: relaxed, PBE-GGA.

The space group is F-43m (No. 216) and the conventional cell measures 6.2587, 6.2587 and 6.2587 Å, with angles of 90.00, 90.00 and 90.00 degrees. The asymmetric unit holds Mg at (0.0000, 0.0000, 0.0000), Tc at (0.0000, 0.0000, 0.5000), Tc at (0.2500, 0.2500, 0.2500) and Mo at (0.2500, 0.2500, 0.7500).

The total moment is 0.000 μB/f.u. For the density of states at the Fermi level, the calculation gives 19.158 states/eV/cell. For the formation energy from the elements, the calculation gives 0.29 eV/atom. Its total energy is -127.92 eV per cell. The volume comes out at 15.32 Å³/atom.

Copy entry 1 word for word.
BaH2F4: relaxed, PBE-GGA.

The space group is Fdd2 (No. 43) and the conventional cell measures 12.9093, 12.9334 and 5.0079 Å, with angles of 90.00, 90.00 and 90.00 degrees. The asymmetric unit holds Ba at (0.0000, 0.0000, 0.0000), H at (0.1198, 0.3698, 0.8749), F at (0.1052, 0.3849, 0.0979) and F at (0.1152, 0.1050, 0.4020).

The total moment is 0.051 μB/f.u. For the density of states at the Fermi level, the calculation gives 0.000 states/eV/cell. Its total energy is -274.08 eV per cell. The volume comes out at 14.93 Å³/atom. The energy above the most stable polymorph in this dataset is 0.000 eV/atom.

What did the first record say?
BaH2F4: relaxed, PBE-GGA.

The space group is Fdd2 (No. 43) and the conventional cell measures 12.9093, 12.9334 and 5.0079 Å, with angles of 90.00, 90.00 and 90.00 degrees. The asymmetric unit holds Ba at (0.0000, 0.0000, 0.0000), H at (0.1198, 0.3698, 0.8749), F at (0.1052, 0.3849, 0.0979) and F at (0.1152, 0.1050, 0.4020).

The total moment is 0.051 μB/f.u. For the density of states at the Fermi level, the calculation gives 0.000 states/eV/cell. Its total energy is -274.08 eV per cell. The volume comes out at 14.93 Å³/atom. The energy above the most stable polymorph in this dataset is 0.000 eV/atom.